VFeAgO4 after structural relaxation. Source: the Alexandria database, functional PBE with a Hubbard U.

The structure in POSCAR format:
```
VFeAgO4
1.0
5.5538 0.0000 0.0000
0.0000 6.1272 0.0000
-2.6372 0.0000 6.2841
V Fe Ag O
2 2 2 8
direct
0.1012 0.2500 0.3580
0.8988 0.7500 0.6420
0.3278 0.7500 0.4992
0.6722 0.2500 0.5008
0.4523 0.2500 0.9160
0.5477 0.7500 0.0840
0.1272 0.2500 0.6197
0.2430 0.7500 0.7800
0.2795 0.0285 0.3240
0.2795 0.4715 0.3240
0.7205 0.5285 0.6760
0.7205 0.9715 0.6760
0.7570 0.2500 0.2200
0.8728 0.7500 0.3803
```

total magnetization = 0.5734 μB per atom
energy = -89.8 eV/cell